Entry from the Alexandria database: a geometry-optimized MnN2F4 structure (PBE+U).

Calculated values
* E: -41.36 eV for the cell shown

Structure (extended XYZ):
```
7
Lattice="3.004 0.000 0.000 1.473 4.900 0.000 1.218 -0.020 7.783" Properties=species:S:1:pos:R:3 pbc="T T T"
Mn 0.000 0.000 0.000
N 2.828 2.858 4.259
N 2.866 2.023 3.525
F 1.470 3.758 1.352
F 1.501 0.923 0.781
F 4.193 3.957 7.002
F 4.224 1.122 6.431
```